## one
A relaxed structure of Bi2Mo2Ru. Source: the Alexandria database, functional PBE.

Unit cell a=5.460 b=5.460 c=5.460 alpha=120.54 beta=120.54 gamma=89.07
Fractional positions:
Bi (0.250, 0.750, 0.500)
Bi (0.750, 0.250, 0.500)
Mo (0.140, 0.140, 0.000)
Mo (0.860, 0.860, 0.000)
Ru (0.500, 0.500, 0.000)

Magnetic moment = 0.48 μB/atom

## two
A relaxed structure of Bi2Mo2Ru. Source: the Alexandria database, functional PBE.

Unit cell a=6.741 b=6.741 c=4.575 alpha=90.00 beta=90.00 gamma=90.00
Fractional positions:
Bi (0.180, 0.320, 0.000)
Bi (0.320, 0.820, 0.000)
Bi (0.680, 0.180, 0.000)
Bi (0.820, 0.680, 0.000)
Mo (0.129, 0.629, 0.500)
Mo (0.371, 0.129, 0.500)
Mo (0.629, 0.871, 0.500)
Mo (0.871, 0.371, 0.500)
Ru (0.000, 0.000, 0.500)
Ru (0.500, 0.500, 0.500)

Magnetic moment = 0.00 μB/atom

two has the most favorable energy; the next structure is 419 meV/atom above.

## one
A relaxed structure of Bi3MoS. Source: the Alexandria database, functional PBE.

Unit cell a=5.310 b=5.310 c=5.310 alpha=90.00 beta=90.00 gamma=90.00
Fractional positions:
Bi (0.000, 0.000, 0.500)
Bi (0.000, 0.500, 0.000)
Bi (0.500, 0.000, 0.000)
Mo (0.000, 0.000, 0.000)
S (0.500, 0.500, 0.500)

Magnetic moment = 0.00 μB/atom

## two
A relaxed structure of Bi3MoS. Source: the Alexandria database, functional PBE.

Unit cell a=5.319 b=5.319 c=5.319 alpha=90.00 beta=90.00 gamma=90.00
Fractional positions:
Bi (0.000, 0.000, 0.500)
Bi (0.000, 0.500, 0.000)
Bi (0.500, 0.000, 0.000)
Mo (0.500, 0.500, 0.500)
S (0.000, 0.000, 0.000)

Magnetic moment = 0.62 μB/atom

one has the most favorable energy; the next structure is 440 meV/atom above.

## one
A relaxed structure of ScBi2Mo. Source: the Alexandria database, functional PBE.

Unit cell a=4.998 b=4.998 c=4.998 alpha=60.00 beta=60.00 gamma=60.00
Fractional positions:
Sc (0.000, 0.000, 0.000)
Bi (0.250, 0.250, 0.250)
Bi (0.750, 0.750, 0.750)
Mo (0.500, 0.500, 0.500)

Magnetic moment = 0.00 μB/atom

## two
A relaxed structure of ScBi2Mo. Source: the Alexandria database, functional PBE.

Unit cell a=8.452 b=8.452 c=8.452 alpha=136.32 beta=136.32 gamma=63.48
Fractional positions:
Sc (0.000, 0.000, 0.000)
Sc (0.750, 0.250, 0.500)
Bi (0.147, 0.625, 0.022)
Bi (0.375, 0.397, 0.522)
Bi (0.603, 0.125, 0.978)
Bi (0.875, 0.853, 0.478)
Mo (0.250, 0.750, 0.500)
Mo (0.500, 0.500, 0.000)

Magnetic moment = 0.75 μB/atom

one has the most favorable energy; the next structure is 601 meV/atom above.

## one
A relaxed structure of ScBiMo3. Source: the Alexandria database, functional PBE.

Unit cell a=5.013 b=5.013 c=5.013 alpha=90.00 beta=90.00 gamma=90.00
Fractional positions:
Sc (0.000, 0.000, 0.000)
Bi (0.500, 0.500, 0.500)
Mo (0.000, 0.500, 0.500)
Mo (0.500, 0.000, 0.500)
Mo (0.500, 0.500, 0.000)

Magnetic moment = 0.00 μB/atom

## two
A relaxed structure of ScBiMo3. Source: the Alexandria database, functional PBE.

Unit cell a=4.752 b=4.752 c=4.752 alpha=90.00 beta=90.00 gamma=90.00
Fractional positions:
Sc (0.000, 0.000, 0.000)
Bi (0.500, 0.500, 0.500)
Mo (0.000, 0.000, 0.500)
Mo (0.000, 0.500, 0.000)
Mo (0.500, 0.000, 0.000)

Magnetic moment = 0.38 μB/atom

two has the most favorable energy; the next structure is 219 meV/atom above.

## one
A relaxed structure of BiMo2Se. Source: the Alexandria database, functional PBE.

Unit cell a=9.350 b=9.350 c=9.350 alpha=152.48 beta=152.48 gamma=39.31
Fractional positions:
Bi (0.000, 0.000, 0.000)
Bi (0.750, 0.250, 0.500)
Mo (0.219, 0.625, 0.094)
Mo (0.375, 0.469, 0.594)
Mo (0.531, 0.125, 0.906)
Mo (0.875, 0.781, 0.406)
Se (0.250, 0.750, 0.500)
Se (0.500, 0.500, 0.000)

Magnetic moment = 0.00 μB/atom

## two
A relaxed structure of BiMo2Se. Source: the Alexandria database, functional PBE.

Unit cell a=4.681 b=4.681 c=4.681 alpha=60.00 beta=60.00 gamma=60.00
Fractional positions:
Bi (0.000, 0.000, 0.000)
Mo (0.250, 0.250, 0.250)
Mo (0.750, 0.750, 0.750)
Se (0.500, 0.500, 0.500)

Magnetic moment = 0.00 μB/atom

two has the most favorable energy; the next structure is 72 meV/atom above.

## one
A relaxed structure of SnBiMo2. Source: the Alexandria database, functional PBE.

Unit cell a=4.784 b=4.784 c=4.784 alpha=60.00 beta=60.00 gamma=60.00
Fractional positions:
Sn (0.000, 0.000, 0.000)
Bi (0.500, 0.500, 0.500)
Mo (0.250, 0.250, 0.250)
Mo (0.750, 0.750, 0.750)

Magnetic moment = 0.31 μB/atom

## two
A relaxed structure of SnBiMo2. Source: the Alexandria database, functional PBE.

Unit cell a=6.228 b=6.228 c=6.228 alpha=103.23 beta=103.23 gamma=122.84
Fractional positions:
Sn (0.000, 0.000, 0.000)
Sn (0.750, 0.250, 0.500)
Bi (0.250, 0.750, 0.500)
Bi (0.500, 0.500, 0.000)
Mo (0.114, 0.625, 0.989)
Mo (0.375, 0.364, 0.489)
Mo (0.636, 0.125, 0.011)
Mo (0.875, 0.886, 0.511)

Magnetic moment = 0.73 μB/atom

one has the most favorable energy; the next structure is 527 meV/atom above.

## one
A relaxed structure of Sn2Bi2Mo. Source: the Alexandria database, functional PBE.

Unit cell a=9.869 b=9.869 c=9.869 alpha=157.26 beta=157.26 gamma=32.37
Fractional positions:
Sn (0.250, 0.750, 0.500)
Sn (0.750, 0.250, 0.500)
Bi (0.083, 0.083, 0.000)
Bi (0.917, 0.917, 0.000)
Mo (0.500, 0.500, 0.000)

Magnetic moment = 0.20 μB/atom

## two
A relaxed structure of Sn2Bi2Mo. Source: the Alexandria database, functional PBE.

Unit cell a=7.397 b=7.397 c=5.176 alpha=90.00 beta=90.00 gamma=90.00
Fractional positions:
Sn (0.161, 0.339, 0.000)
Sn (0.339, 0.839, 0.000)
Sn (0.661, 0.161, 0.000)
Sn (0.839, 0.661, 0.000)
Bi (0.154, 0.654, 0.500)
Bi (0.346, 0.154, 0.500)
Bi (0.654, 0.846, 0.500)
Bi (0.846, 0.346, 0.500)
Mo (0.000, 0.000, 0.500)
Mo (0.500, 0.500, 0.500)

Magnetic moment = 0.29 μB/atom

two has the most favorable energy; the next structure is 99 meV/atom above.

## one
A relaxed structure of SrSnBi2Mo. Source: the Alexandria database, functional PBE.

Unit cell a=5.848 b=5.848 c=5.972 alpha=90.00 beta=90.00 gamma=90.00
Fractional positions:
Sr (0.000, 0.000, 0.000)
Sn (0.000, 0.000, 0.500)
Bi (0.000, 0.500, 0.500)
Bi (0.500, 0.000, 0.500)
Mo (0.500, 0.500, 0.000)

Magnetic moment = 0.96 μB/atom

## two
A relaxed structure of SrSnBi2Mo. Source: the Alexandria database, functional PBE.

Unit cell a=5.934 b=5.934 c=5.208 alpha=90.00 beta=90.00 gamma=90.00
Fractional positions:
Sr (0.000, 0.000, 0.000)
Sn (0.500, 0.500, 0.500)
Bi (0.000, 0.500, 0.500)
Bi (0.500, 0.000, 0.500)
Mo (0.500, 0.500, 0.000)

Magnetic moment = 0.66 μB/atom

two has the most favorable energy; the next structure is 468 meV/atom above.